1) A geometry-optimized SnAs2F structure. Source: the Alexandria database, functional PBE.

Cell lengths 3.780, 3.780, 23.145 Å; angles 90.00, 90.00, 90.00 degrees
Space group I-42d (No. 122)
Unique sites:
Sn: 0.000 0.000 0.000 x4
As: 0.213 0.250 0.625 x8
F: 0.000 0.000 0.500 x4

Summary:
- magnetic moment (μB/f.u.) = 0.00

2) A geometry-optimized SnAs2F structure. Source: the Alexandria database, functional PBE.

Cell lengths 6.652, 6.652, 6.652 Å; angles 90.00, 90.00, 90.00 degrees
Space group Fm-3m (No. 225)
Unique sites:
Sn: 0.000 0.000 0.000 x4
As: 0.250 0.250 0.250 x8
F: 0.000 0.000 0.500 x4

Summary:
- magnetic moment (μB/f.u.) = 0.00

Q: Which of them is the least stable? A: 2).

1) A geometry-optimized SnAsF2 structure. Source: the Alexandria database, functional PBE.

Cell lengths 6.378, 6.378, 6.378 Å; angles 90.00, 90.00, 90.00 degrees
Space group Fm-3m (No. 225)
Unique sites:
Sn: 0.000 0.000 0.000 x4
As: 0.000 0.000 0.500 x4
F: 0.250 0.250 0.250 x8

Summary:
- magnetic moment (μB/f.u.) = 0.67

2) A geometry-optimized SnAsF2 structure. Source: the Alexandria database, functional PBE.

Cell lengths 3.1383, 3.1383, 24.8076 Å; angles 90.00, 90.00, 120.00 degrees
Space group R-3m (No. 166, hexagonal axes)
Unique sites:
Sn: 0.0000 0.0000 0.0000 x3
As: 0.0000 0.0000 0.5000 x3
F: 0.0000 0.0000 0.4177 x6

Summary:
- magnetic moment (μB/f.u.) = 0.18

Q: Which of them is the least stable? A: 1).